Ba2Nb3CoO12: relaxed, GGA+U.

Values from the calculation:
Uncorrected energy in eV/atom: -7.676

a = 7.1758 Å, b = 7.1758 Å, c = 7.1758 Å
α = 62.16°, β = 62.16°, γ = 62.16°
Atoms (fractional coordinates):
Ba  0.1599  0.1599  0.1599
Ba  0.8401  0.8401  0.8401
Nb  0.0000  0.5000  0.5000
Nb  0.5000  0.0000  0.5000
Nb  0.5000  0.5000  0.0000
Co  0.5000  0.5000  0.5000
O  0.1730  0.1730  0.5515
O  0.1730  0.5515  0.1730
O  0.2015  0.5623  0.5623
O  0.4377  0.4377  0.7985
O  0.4377  0.7985  0.4377
O  0.4485  0.8270  0.8270
O  0.5515  0.1730  0.1730
O  0.5623  0.2015  0.5623
O  0.5623  0.5623  0.2015
O  0.7985  0.4377  0.4377
O  0.8270  0.4485  0.8270
O  0.8270  0.8270  0.4485